Arrangement one

Material: InAu2Br
Method: DFT, PBE-GGA
State: optimized geometry

Properties
As for the space-group type: C2/m. The theoretical density is 8.35 g/cm³. For the calculated volume, the calculation gives 29.28 Å³/atom.

a b c (Å): 4.8657 4.8657 9.6413
angles (deg): 45.76 45.76 60.39
Closest atoms and distances in Å follow each position.
Atoms (fractional coordinates):
1 Br 0.7500 0.7500 0.7500  2 In 2.86
2 Au 0.9161 0.9161 0.2506  3 Au 2.80-2.82, 3 In 2.80-2.82
3 Au 0.5839 0.5839 0.2494  3 Au 2.80-2.82, 3 In 2.80-2.82
4 In 0.2500 0.2500 0.2500  6 Au 2.80-2.82, 2 Br 2.86


Arrangement two

Material: InAu2Br
Method: DFT, PBE-GGA
State: optimized geometry

Properties
As for the space-group type: Cmmm. The theoretical density is 10.22 g/cm³. For the calculated volume, the calculation gives 23.91 Å³/atom.

a b c (Å): 3.6492 5.3362 5.3383
angles (deg): 66.95 90.00 90.00
Closest atoms and distances in Å follow each position.
Atoms (fractional coordinates):
1 Au 0.0000 0.5164 0.5164  2 In 2.77, 2 Au 2.96, 2 Br 2.99
2 In 0.5000 0.7500 0.7500  4 Au 2.77, 2 Br 2.94
3 Br 0.5000 0.2500 0.2500  2 In 2.94, 4 Au 2.99
4 Au 0.0000 0.9836 0.9836  2 In 2.77, 2 Au 2.96, 2 Br 2.99


Structures ranked by computed energy, the most stable listed first: arrangement one, arrangement two.


Arrangement one

Material: InAu2Br
Method: DFT, PBE-GGA
State: optimized geometry

Properties
As for the space-group type: Fm-3m. The theoretical density is 10.79 g/cm³. For the calculated volume, the calculation gives 22.64 Å³/atom.

a b c (Å): 5.0408 5.0408 5.0408
angles (deg): 60.00 60.00 60.00
Closest atoms and distances in Å follow each position.
Atoms (fractional coordinates):
1 Au 0.2500 0.2500 0.2500  4 In 3.09, 4 Br 3.09
2 In 0.5000 0.5000 0.5000  8 Au 3.09
3 Br 0.0000 0.0000 0.0000  8 Au 3.09
4 Au 0.7500 0.7500 0.7500  4 In 3.09, 4 Br 3.09


Arrangement two

Material: InAu2Br
Method: DFT, PBE-GGA
State: optimized geometry

Properties
As for the space-group type: Pmmm. The theoretical density is 10.09 g/cm³. For the calculated volume, the calculation gives 24.22 Å³/atom.

a b c (Å): 3.5719 4.5010 6.0269
angles (deg): 90.00 90.00 90.00
Closest atoms and distances in Å follow each position.
Atoms (fractional coordinates):
1 Au 0.0000 0.0000 0.0000  4 Au 2.87
2 Br 0.5000 0.0000 0.5000  4 In 2.87
3 Au 0.5000 0.5000 0.0000  4 Au 2.87
4 In 0.0000 0.5000 0.5000  4 Br 2.87


Structures ranked by computed energy, the most stable listed first: arrangement two, arrangement one.


Arrangement one

Material: InAu2Br
Method: DFT, PBE-GGA
State: optimized geometry

Properties
As for the space-group type: Cmm2. The theoretical density is 10.40 g/cm³. For the calculated volume, the calculation gives 23.49 Å³/atom.

a b c (Å): 3.5696 3.5696 7.6839
angles (deg): 90.00 90.00 106.32
Closest atoms and distances in Å follow each position.
Atoms (fractional coordinates):
1 Au 0.5000 0.5000 0.2294  2 Au 2.75, 2 Br 2.91
2 In 0.5000 0.5000 0.7790  2 Au 2.76
3 Au 0.0000 0.0000 0.0055  2 Au 2.75, 2 In 2.76
4 Br 0.0000 0.0000 0.4861  2 Au 2.91, 2 In 3.11


Arrangement two

Material: InAu2Br
Method: DFT, PBE-GGA
State: optimized geometry

Properties
As for the space-group type: P4/mmm. The theoretical density is 10.50 g/cm³. For the calculated volume, the calculation gives 23.28 Å³/atom.

a b c (Å): 3.8685 3.8691 6.2212
angles (deg): 90.00 90.00 90.00
Closest atoms and distances in Å follow each position.
Atoms (fractional coordinates):
1 Br 0.5000 0.5000 0.2500  2 In 3.11, 8 Au 3.25
2 In 0.5000 0.5000 0.7500  8 Au 3.05, 2 Br 3.11
3 Au 0.0000 0.0000 0.9670  1 Au 2.70
4 Au 0.0000 0.0000 0.5330  1 Au 2.70


Structures ranked by computed energy, the most stable listed first: arrangement one, arrangement two.


Arrangement one

Material: InAu2Br
Method: DFT, PBE-GGA
State: optimized geometry

Properties
As for the space-group type: P-1. The theoretical density is 10.36 g/cm³. For the calculated volume, the calculation gives 23.59 Å³/atom.

a b c (Å): 6.3225 6.3234 3.8903
angles (deg): 71.85 72.08 125.06
Closest atoms and distances in Å follow each position.
Atoms (fractional coordinates):
1 Au 0.5000 0.5000 0.0000  4 Au 2.90-2.92, 2 Br 3.15, 2 In 3.16
2 In 0.0000 0.5000 0.5000  4 Br 2.90-2.92, 4 Au 3.15-3.16
3 Br 0.5000 0.0000 0.5000  4 In 2.90-2.92, 4 Au 3.15-3.16
4 Au 0.0000 0.0000 0.0000  4 Au 2.90-2.92, 2 In 3.15, 2 Br 3.16


Arrangement two

Material: InAu2Br
Method: DFT, PBE-GGA
State: optimized geometry

Properties
As for the space-group type: Immm. The theoretical density is 10.34 g/cm³. For the calculated volume, the calculation gives 23.64 Å³/atom.

a b c (Å): 5.7860 5.7860 5.7860
angles (deg): 146.29 116.43 73.92
Closest atoms and distances in Å follow each position.
Atoms (fractional coordinates):
1 Br 0.2500 0.7500 0.5000  4 Au 2.97
2 Au 0.5154 0.5154 0.0000  2 In 2.74, 2 Br 2.97
3 In 0.7500 0.2500 0.5000  4 Au 2.74
4 Au 0.9846 0.9846 0.0000  2 In 2.74, 2 Br 2.97


Structures ranked by computed energy, the most stable listed first: arrangement two, arrangement one.


Arrangement one

Material: InAu2Br
Method: DFT, PBE-GGA
State: optimized geometry

Properties
As for the space-group type: Imm2. The theoretical density is 9.83 g/cm³. For the calculated volume, the calculation gives 24.86 Å³/atom.

a b c (Å): 5.6054 5.6054 5.6054
angles (deg): 141.14 112.10 81.09
Closest atoms and distances in Å follow each position.
Atoms (fractional coordinates):
1 Au 0.0066 0.0066 0.0000  2 Au 2.72, 2 In 2.76
2 In 0.7677 0.2676 0.5000  2 Au 2.76, 2 Br 3.04
3 Au 0.2394 0.7394 0.5000  2 Au 2.72, 2 Br 2.81
4 Br 0.4864 0.4864 0.0000  2 Au 2.81, 2 In 3.04


Arrangement two

Material: InAu2Br
Method: DFT, PBE-GGA
State: optimized geometry

Properties
As for the space-group type: R3m. The theoretical density is 9.93 g/cm³. For the calculated volume, the calculation gives 24.60 Å³/atom.

a b c (Å): 7.6265 7.6265 7.6265
angles (deg): 30.03 30.03 30.03
Closest atoms and distances in Å follow each position.
Atoms (fractional coordinates):
1 Au 0.9993 0.9993 0.9993  3 In 2.76, 3 Au 2.78
2 In 0.7373 0.7373 0.7373  3 Au 2.76
3 Au 0.2596 0.2596 0.2596  3 Au 2.78, 3 Br 3.00
4 Br 0.5038 0.5038 0.5038  3 Au 3.00, 3 In 3.16


Arrangement three

Material: InAu2Br
Method: DFT, PBE-GGA
State: optimized geometry

Properties
As for the space-group type: F-43m. The theoretical density is 10.54 g/cm³. For the calculated volume, the calculation gives 23.19 Å³/atom.

a b c (Å): 5.0810 5.0810 5.0810
angles (deg): 60.00 60.00 60.00
Closest atoms and distances in Å follow each position.
Atoms (fractional coordinates):
1 In 0.7500 0.7500 0.7500  4 Br 3.11, 4 Au 3.11
2 Br 0.5000 0.5000 0.5000  4 Au 3.11, 4 In 3.11
3 Au 0.0000 0.0000 0.0000  4 In 3.11, 4 Au 3.11
4 Au 0.2500 0.2500 0.2500  4 Br 3.11, 4 Au 3.11


Structures ranked by computed energy, the most stable listed first: arrangement two, arrangement one, arrangement three.


Arrangement one

Material: InAu2Br6
Method: DFT, PBE-GGA
State: optimized geometry

Properties
As for the space-group type: C2/c. The theoretical density is 5.41 g/cm³. For the calculated volume, the calculation gives 33.68 Å³/atom.

a b c (Å): 7.2029 9.4529 9.4529
angles (deg): 104.55 98.11 98.11
Closest atoms and distances in Å follow each position.
Atoms (fractional coordinates):
1 Br 0.4546 0.2768 0.5068  2 Au 2.50
2 Br 0.9546 0.5068 0.2768  2 Au 2.50
3 Br 0.1498 0.1894 0.0830  1 Au 2.81, 2 In 2.84-2.99
4 In 0.7500 0.0889 0.9111  4 Br 2.56-2.84
5 Br 0.3826 0.6719 0.0732  1 In 2.56
6 Br 0.6498 0.0830 0.1894  1 Au 2.81, 2 In 2.84-2.99
7 In 0.2500 0.9111 0.0889  4 Br 2.56-2.84
8 Br 0.1174 0.9268 0.3281  1 In 2.56
9 Au 0.2101 0.3827 0.3714  2 Br 2.50, 1 Au 2.77
10 Au 0.2899 0.6286 0.6173  2 Br 2.50, 1 Au 2.77
11 Au 0.7101 0.3714 0.3827  2 Br 2.50, 1 Au 2.77
12 Br 0.8826 0.0732 0.6719  1 In 2.56
13 Br 0.5454 0.7232 0.4932  2 Au 2.50
14 Br 0.8502 0.8106 0.9170  1 Au 2.81, 2 In 2.84-2.99
15 Au 0.7899 0.6173 0.6286  2 Br 2.50, 1 Au 2.77
16 Br 0.3502 0.9170 0.8106  1 Au 2.81, 2 In 2.84-2.99
17 Br 0.0454 0.4932 0.7232  2 Au 2.50
18 Br 0.6174 0.3281 0.9268  1 In 2.56


Arrangement two

Material: InAu2Br6
Method: DFT, PBE-GGA
State: optimized geometry

Properties
As for the space-group type: C2/c. The theoretical density is 4.93 g/cm³. For the calculated volume, the calculation gives 36.98 Å³/atom.

a b c (Å): 7.7444 9.6909 9.6909
angles (deg): 87.53 73.16 73.16
Closest atoms and distances in Å follow each position.
Atoms (fractional coordinates):
1 Br 0.0657 0.6573 0.5515  2 Au 2.43-2.72
2 Br 0.5657 0.5515 0.6573  2 Au 2.43-2.72
3 In 0.7500 0.9109 0.0891  2 Br 2.53
4 Au 0.8020 0.2885 0.2652  3 Br 2.43-2.72
5 Br 0.9343 0.3427 0.4485  2 Au 2.43-2.72
6 Br 0.7548 0.9501 0.3442  1 In 2.53
7 Br 0.4343 0.4485 0.3427  2 Au 2.43-2.72
8 Au 0.6980 0.7348 0.7115  3 Br 2.43-2.72
9 Br 0.2452 0.0499 0.6558  1 In 2.53
10 Br 0.8282 0.1863 0.0216  1 Au 2.53
11 In 0.2500 0.0891 0.9109  2 Br 2.53
12 Br 0.2548 0.3442 0.9501  1 In 2.53
13 Au 0.3020 0.2652 0.2885  3 Br 2.43-2.72
14 Br 0.1718 0.8137 0.9784  1 Au 2.53
15 Br 0.7452 0.6558 0.0499  1 In 2.53
16 Br 0.6718 0.9784 0.8137  1 Au 2.53
17 Au 0.1980 0.7115 0.7348  3 Br 2.43-2.72
18 Br 0.3282 0.0216 0.1863  1 Au 2.53


Structures ranked by computed energy, the most stable listed first: arrangement one, arrangement two.


Arrangement one

Material: In3AuBr
Method: DFT, PBE-GGA
State: optimized geometry

Properties
As for the space-group type: Pm-3m. The theoretical density is 4.95 g/cm³. For the calculated volume, the calculation gives 41.67 Å³/atom.

a b c (Å): 5.9285 5.9285 5.9285
angles (deg): 90.00 90.00 90.00
Closest atoms and distances in Å follow each position.
Atoms (fractional coordinates):
1 In 0.0000 0.0000 0.5000  2 Br 2.96
2 Au 0.5000 0.5000 0.5000  12 In 4.19
3 Br 0.0000 0.0000 0.0000  6 In 2.96
4 In 0.0000 0.5000 0.0000  2 Br 2.96
5 In 0.5000 0.0000 0.0000  2 Br 2.96


Arrangement two

Material: In3AuBr
Method: DFT, PBE-GGA
State: optimized geometry

Properties
As for the space-group type: Pm-3m. The theoretical density is 6.43 g/cm³. For the calculated volume, the calculation gives 32.10 Å³/atom.

a b c (Å): 5.4343 5.4343 5.4343
angles (deg): 90.00 90.00 90.00
Closest atoms and distances in Å follow each position.
Atoms (fractional coordinates):
1 Br 0.5000 0.5000 0.5000  12 In 3.84
2 In 0.0000 0.0000 0.5000  2 Au 2.72
3 In 0.0000 0.5000 0.0000  2 Au 2.72
4 Au 0.0000 0.0000 0.0000  6 In 2.72
5 In 0.5000 0.0000 0.0000  2 Au 2.72


Structures ranked by computed energy, the most stable listed first: arrangement two, arrangement one.


Arrangement one

Material: Mn2InAuBr
Method: DFT, PBE-GGA
State: optimized geometry

Properties
As for the space-group type: P4/mmm. The theoretical density is 5.18 g/cm³. For the calculated volume, the calculation gives 32.17 Å³/atom.

a b c (Å): 4.9931 6.4526 4.9931
angles (deg): 90.00 90.00 90.00
Closest atoms and distances in Å follow each position.
Atoms (fractional coordinates):
1 Br 0.0000 0.5000 0.0000  2 Au 3.23, 4 In 3.53
2 Au 0.0000 0.0000 0.0000  4 Mn 2.50
3 Mn 0.0000 0.0000 0.5000  2 Au 2.50
4 Mn 0.5000 0.0000 0.0000  2 Au 2.50
5 In 0.5000 0.5000 0.5000  4 Br 3.53


Arrangement two

Material: Mn2InAuBr
Method: DFT, PBE-GGA
State: optimized geometry

Properties
As for the space-group type: P4/mmm. The theoretical density is 5.38 g/cm³. For the calculated volume, the calculation gives 30.99 Å³/atom.

a b c (Å): 5.3191 5.4766 5.3191
angles (deg): 90.00 90.00 90.00
Closest atoms and distances in Å follow each position.
Atoms (fractional coordinates):
1 Au 0.5000 0.5000 0.5000  4 Br 3.76, 8 Mn 3.82
2 In 0.0000 0.0000 0.0000  4 Mn 2.66, 2 Br 2.74
3 Br 0.0000 0.5000 0.0000  2 In 2.74
4 Mn 0.0000 0.0000 0.5000  2 In 2.66
5 Mn 0.5000 0.0000 0.0000  2 In 2.66


Structures ranked by computed energy, the most stable listed first: arrangement one, arrangement two.